Below is an optimized crystal structure of ZrCoRu2, with properties calculated at the PBE level.

Output
Energy above the most stable polymorph in this dataset (kJ per mole of atoms): 10.5
Formation energy from the elements (eV/atom): -0.025

Cell lengths 8.9387, 2.9313, 4.7279 Å; angles 90.00, 103.04, 90.00 degrees
With the nearest neighbours (Å) after each atom.
Space group C2/m (No. 12)
One atom of each set of equivalent atoms:
Zr: 0.0000 0.0000 0.0000 (multiplicity 2)  6 Ru 2.74-2.85, 4 Co 2.78, 2 Zr 2.93
Co: 0.0000 0.5000 0.5000 (multiplicity 2)  6 Ru 2.58-2.78, 4 Zr 2.78
Ru: 0.2354 0.0000 0.7159 (multiplicity 4)  2 Ru 2.57, 3 Co 2.58-2.78, 3 Zr 2.74-2.85

Below is an optimized crystal structure of As2Ir, with properties calculated at the PBE level.

Output
Formation energy from the elements (eV/atom): 0.034

Cell lengths 13.7913, 2.9758, 6.8246 Å; angles 90.00, 112.34, 90.00 degrees
With the nearest neighbours (Å) after each atom.
Space group Cm (No. 8)
One atom of each set of equivalent atoms:
As: 0.0000 0.0000 0.0000 (multiplicity 2)  3 Ir 2.45-2.56
As: 0.0214 0.0000 0.5341 (multiplicity 2)  2 Ir 2.51, 1 As 2.55
As: 0.2061 0.0000 0.5317 (multiplicity 2)  2 Ir 2.46, 1 As 2.55
As: 0.2685 0.5000 0.1399 (multiplicity 2)  3 Ir 2.42-2.56
Ir: 0.3089 0.5000 0.8240 (multiplicity 2)  4 As 2.42-2.46
Ir: 0.4300 0.0000 0.2216 (multiplicity 2)  6 As 2.51-2.56

Below is an optimized crystal structure of Re2SbIr, with properties calculated at the PBE level.

Output
Uncorrected formation energy (eV/atom): 0.480

Cell lengths 2.9231, 2.9231, 26.3111 Å; angles 90.00, 90.00, 120.00 degrees
With the nearest neighbours (Å) after each atom.
Space group R-3m (No. 166, hexagonal axes)
One atom of each set of equivalent atoms:
Re: 0.0000 0.0000 0.2483 (multiplicity 6)  3 Ir 2.73, 3 Sb 2.80, 6 Re 2.92
Sb: 0.0000 0.0000 0.0000 (multiplicity 3)  6 Re 2.80, 6 Sb 2.92
Ir: 0.0000 0.0000 0.5000 (multiplicity 3)  6 Re 2.73, 6 Ir 2.92

Below is an optimized crystal structure of RbTl3W, with properties calculated at the PBE level.

Output
Energy above the most stable polymorph in this dataset (kJ per mole of atoms): 0.0
Formation energy from the elements (eV/atom): 0.432

Cell lengths 5.4736, 5.4736, 5.4736 Å; angles 90.00, 90.00, 90.00 degrees
With the nearest neighbours (Å) after each atom.
Space group Pm-3m (No. 221)
One atom of each set of equivalent atoms:
Rb: 0.0000 0.0000 0.0000 (multiplicity 1)  12 Tl 3.87
Tl: 0.0000 0.5000 0.5000 (multiplicity 3)  2 W 2.74
W: 0.5000 0.5000 0.5000 (multiplicity 1)  6 Tl 2.74

Below is an optimized crystal structure of Ac2PuAs3Pt4, with properties calculated at the PBE level.

Output
Formation energy from the elements (eV/atom): -0.880

Cell lengths 4.4107, 4.4107, 11.4643 Å; angles 90.00, 90.00, 90.00 degrees
With the nearest neighbours (Å) after each atom.
Space group P-4m2 (No. 115)
One atom of each set of equivalent atoms:
Ac: 0.0000 0.5000 0.2248 (multiplicity 2)  4 As 3.35, 8 Pt 3.37-3.39
Pu: 0.0000 0.0000 0.5000 (multiplicity 1)  4 Pt 2.89, 4 As 3.12
As: 0.0000 0.5000 0.8809 (multiplicity 2)  5 Pt 2.50-2.59
As: 0.5000 0.5000 0.5000 (multiplicity 1)  4 Pt 2.89, 4 Pu 3.12
Pt: 0.0000 0.0000 0.0000 (multiplicity 1)  4 As 2.59
Pt: 0.0000 0.5000 0.6628 (multiplicity 2)  1 As 2.50
Pt: 0.5000 0.5000 0.0000 (multiplicity 1)  4 As 2.59

Below is an optimized crystal structure of TmThCoNi, with properties calculated at the PBE level.

Output
Energy above the most stable polymorph in this dataset (kJ per mole of atoms): 10.3
Formation energy from the elements (eV/atom): -0.271

Cell lengths 6.8085, 6.8085, 6.8085 Å; angles 90.00, 90.00, 90.00 degrees
With the nearest neighbours (Å) after each atom.
Space group F-43m (No. 216)
One atom of each set of equivalent atoms:
Tm: 0.0000 0.0000 0.0000 (multiplicity 4)  4 Co 2.95, 4 Ni 2.95
Th: 0.0000 0.0000 0.5000 (multiplicity 4)  4 Co 2.95, 4 Ni 2.95
Co: 0.2500 0.2500 0.7500 (multiplicity 4)  4 Th 2.95, 4 Tm 2.95
Ni: 0.2500 0.2500 0.2500 (multiplicity 4)  4 Th 2.95, 4 Tm 2.95

Below is an optimized crystal structure of CoTe2As2, with properties calculated at the PBE level.

Output
Uncorrected formation energy (eV/atom): 0.114

Cell lengths 6.1188, 6.1188, 6.1260 Å; angles 90.00, 90.00, 90.00 degrees
With the nearest neighbours (Å) after each atom.
Space group P4/mbm (No. 127)
One atom of each set of equivalent atoms:
Co: 0.0000 0.0000 0.0000 (multiplicity 2)  4 As 2.33
Te: 0.1727 0.3273 0.5000 (multiplicity 4)  5 Te 2.99-3.20, 2 As 3.07
As: 0.1493 0.3507 0.0000 (multiplicity 4)  2 Co 2.33, 1 As 2.58

Below is an optimized crystal structure of NdTmTl2Se4, with properties calculated at the PBE level.

Output
Uncorrected formation energy (eV/atom): -1.370

Cell lengths 7.3349, 4.2312, 8.1408 Å; angles 90.00, 107.42, 90.00 degrees
With the nearest neighbours (Å) after each atom.
Space group P2/m (No. 10)
One atom of each set of equivalent atoms:
Nd: 0.0000 0.0000 0.0000 (multiplicity 1)  6 Se 2.96-2.97
Tm: 0.5000 0.5000 0.0000 (multiplicity 1)  6 Se 2.87-2.88
Tl: 0.0000 0.5000 0.5000 (multiplicity 1)  6 Se 3.39
Tl: 0.5000 0.0000 0.5000 (multiplicity 1)  6 Se 3.30-3.31
Se: 0.2464 0.5000 0.2084 (multiplicity 2)  1 Tm 2.87, 2 Nd 2.96
Se: 0.2756 0.0000 0.7964 (multiplicity 2)  2 Tm 2.88, 1 Nd 2.97